## DyTmAl (PBE-GGA)

Data for crystalline DyTmAl at its relaxed geometry.

Cell and atoms, written as extended XYZ:
```
3
Lattice="5.035 0.000 0.000 -2.518 4.361 0.000 0.000 0.000 3.523" Properties=species:S:1:pos:R:3 pbc="T T T"
Dy 0.000 0.000 0.000
Tm 0.000 2.907 1.554
Al 2.518 1.454 2.453
```

Results
Volume, Å³/f.u.: 77.37
Energy relative to the elements, eV/atom: -0.15
ΔE to the lowest computed polymorph, meV per atom: 105
Calculated density, g/cm3: 7.7